1.
# Ba2SrGaF (PBEsol, relaxed)
# DOS(E_F)   3.99 states/eV per cell
# Energy   -17.2 eV/f.u.
# ΔE_f (raw)   -1.16 eV per atom
# Magnetic moment   0.000 μB per atom
data_Ba2SrGaF
_chemical_formula_sum 'Ba2 Sr1 Ga1 F1'
_cell_length_a 5.458
_cell_length_b 5.458
_cell_length_c 5.114
_cell_angle_alpha 90.00
_cell_angle_beta 90.00
_cell_angle_gamma 90.00
_space_group_name_H-M_alt 'P 4/m m m'
_space_group_IT_number 123
_space_group_name_Hall '-P 4 2'
loop_
_atom_site_label
_atom_site_type_symbol
_atom_site_fract_x
_atom_site_fract_y
_atom_site_fract_z
_atom_site_occupancy
Ba1 Ba 0.000 0.500 0.000 1
Sr1 Sr 0.000 0.000 0.500 1
Ga1 Ga 0.500 0.500 0.500 1
F1 F 0.000 0.000 0.000 1

***

2.
# BaGeN2F (PBEsol, relaxed)
# DOS(E_F)   1.67 states/eV per cell
# Energy   -30.4 eV/f.u.
# ΔE_f (raw)   -0.87 eV per atom
# Magnetic moment   0.001 μB per atom
data_BaGeN2F
_chemical_formula_sum 'Ba1 Ge1 N2 F1'
_cell_length_a 3.826
_cell_length_b 3.826
_cell_length_c 4.595
_cell_angle_alpha 90.00
_cell_angle_beta 90.00
_cell_angle_gamma 90.00
_space_group_name_H-M_alt 'P 4/m m m'
_space_group_IT_number 123
_space_group_name_Hall '-P 4 2'
loop_
_atom_site_label
_atom_site_type_symbol
_atom_site_fract_x
_atom_site_fract_y
_atom_site_fract_z
_atom_site_occupancy
Ba1 Ba 0.000 0.000 0.000 1
Ge1 Ge 0.500 0.500 0.500 1
N1 N 0.000 0.500 0.500 1
F1 F 0.500 0.500 0.000 1

***

3.
# BaGeO2F (PBEsol, relaxed)
# DOS(E_F)   0.58 states/eV per cell
# Energy   -30.7 eV/f.u.
# ΔE_f (raw)   -2.24 eV per atom
# Magnetic moment   0.000 μB per atom
data_BaGeO2F
_chemical_formula_sum 'Ba1 Ge1 O2 F1'
_cell_length_a 4.052
_cell_length_b 4.052
_cell_length_c 4.302
_cell_angle_alpha 90.00
_cell_angle_beta 90.00
_cell_angle_gamma 90.00
_space_group_name_H-M_alt 'P 4/m m m'
_space_group_IT_number 123
_space_group_name_Hall '-P 4 2'
loop_
_atom_site_label
_atom_site_type_symbol
_atom_site_fract_x
_atom_site_fract_y
_atom_site_fract_z
_atom_site_occupancy
Ba1 Ba 0.000 0.000 0.000 1
Ge1 Ge 0.500 0.500 0.500 1
O1 O 0.000 0.500 0.500 1
F1 F 0.500 0.500 0.000 1

***

4.
# BaH6F8 (PBEsol, relaxed)
# DOS(E_F)   0.00 states/eV per cell
# Energy   -69.6 eV/f.u.
# Magnetic moment   0.000 μB per atom
data_BaH6F8
_chemical_formula_sum 'Ba4 H24 F32'
_cell_length_a 7.7627
_cell_length_b 7.7627
_cell_length_c 12.4281
_cell_angle_alpha 90.00
_cell_angle_beta 90.00
_cell_angle_gamma 120.00
_space_group_name_H-M_alt 'P -6 2 c'
_space_group_IT_number 190
_space_group_name_Hall 'P -6c -2c'
loop_
_atom_site_label
_atom_site_type_symbol
_atom_site_fract_x
_atom_site_fract_y
_atom_site_fract_z
_atom_site_occupancy
Ba1 Ba 0.3333 0.6667 0.0633 1
H1 H 0.0000 0.1703 0.0000 1
H2 H 0.0274 0.3196 0.2500 1
H3 H 0.1096 0.7266 0.6651 1
F1 F 0.0000 0.0000 0.0000 1
F2 F 0.0000 0.3015 0.0000 1
F3 F 0.0674 0.6284 0.6024 1
F4 F 0.1550 0.3164 0.7500 1
F5 F 0.1685 0.4380 0.2500 1

***

5.
# BaIn2HF (PBEsol, relaxed)
# DOS(E_F)   4.05 states/eV per cell
# Energy   -15.7 eV/f.u.
# Magnetic moment   0.087 μB per atom
data_BaIn2HF
_chemical_formula_sum 'Ba1 In2 H1 F1'
_cell_length_a 4.668
_cell_length_b 4.668
_cell_length_c 6.128
_cell_angle_alpha 90.00
_cell_angle_beta 90.00
_cell_angle_gamma 90.00
_space_group_name_H-M_alt 'P 4/m m m'
_space_group_IT_number 123
_space_group_name_Hall '-P 4 2'
loop_
_atom_site_label
_atom_site_type_symbol
_atom_site_fract_x
_atom_site_fract_y
_atom_site_fract_z
_atom_site_occupancy
Ba1 Ba 0.000 0.000 0.000 1
In1 In 0.000 0.500 0.500 1
H1 H 0.500 0.500 0.000 1
F1 F 0.500 0.500 0.500 1

***

6.
# Ba2HfF (PBEsol, relaxed)
# DOS(E_F)   16.18 states/eV per cell
# Energy   -16.5 eV/f.u.
# ΔE_f (raw)   0.06 eV per atom
# Magnetic moment   1.240 μB per atom
data_Ba2HfF
_chemical_formula_sum 'Ba8 Hf4 F4'
_cell_length_a 8.051
_cell_length_b 8.051
_cell_length_c 8.051
_cell_angle_alpha 90.00
_cell_angle_beta 90.00
_cell_angle_gamma 90.00
_space_group_name_H-M_alt 'F m -3 m'
_space_group_IT_number 225
_space_group_name_Hall '-F 4 2 3'
loop_
_atom_site_label
_atom_site_type_symbol
_atom_site_fract_x
_atom_site_fract_y
_atom_site_fract_z
_atom_site_occupancy
Ba1 Ba 0.250 0.250 0.250 1
Hf1 Hf 0.000 0.000 0.000 1
F1 F 0.000 0.000 0.500 1

***

7.
# BaHf3F (PBEsol, relaxed)
# DOS(E_F)   5.32 states/eV per cell
# Energy   -25.6 eV/f.u.
# ΔE_f (raw)   2.00 eV per atom
# Magnetic moment   0.000 μB per atom
data_BaHf3F
_chemical_formula_sum 'Ba1 Hf3 F1'
_cell_length_a 5.295
_cell_length_b 5.295
_cell_length_c 5.295
_cell_angle_alpha 90.00
_cell_angle_beta 90.00
_cell_angle_gamma 90.00
_space_group_name_H-M_alt 'P m -3 m'
_space_group_IT_number 221
_space_group_name_Hall '-P 4 2 3'
loop_
_atom_site_label
_atom_site_type_symbol
_atom_site_fract_x
_atom_site_fract_y
_atom_site_fract_z
_atom_site_occupancy
Ba1 Ba 0.000 0.000 0.000 1
Hf1 Hf 0.000 0.000 0.500 1
F1 F 0.500 0.500 0.500 1

***

8.
# BaHf2RhF (PBEsol, relaxed)
# DOS(E_F)   5.95 states/eV per cell
# Energy   -34.3 eV/f.u.
# ΔE_f (raw)   -0.21 eV per atom
# Magnetic moment   0.000 μB per atom
data_BaHf2RhF
_chemical_formula_sum 'Ba1 Hf2 Rh1 F1'
_cell_length_a 4.410
_cell_length_b 4.410
_cell_length_c 5.125
_cell_angle_alpha 90.00
_cell_angle_beta 90.00
_cell_angle_gamma 90.00
_space_group_name_H-M_alt 'P 4/m m m'
_space_group_IT_number 123
_space_group_name_Hall '-P 4 2'
loop_
_atom_site_label
_atom_site_type_symbol
_atom_site_fract_x
_atom_site_fract_y
_atom_site_fract_z
_atom_site_occupancy
Ba1 Ba 0.000 0.000 0.000 1
Hf1 Hf 0.000 0.500 0.500 1
Rh1 Rh 0.500 0.500 0.000 1
F1 F 0.000 0.000 0.500 1

***

9.
# BaHfRuF2 (PBEsol, relaxed)
# DOS(E_F)   5.28 states/eV per cell
# Energy   -28.2 eV/f.u.
# ΔE_f (raw)   -0.31 eV per atom
# Magnetic moment   0.108 μB per atom
data_BaHfRuF2
_chemical_formula_sum 'Ba1 Hf1 Ru1 F2'
_cell_length_a 4.492
_cell_length_b 4.492
_cell_length_c 9.099
_cell_angle_alpha 90.00
_cell_angle_beta 90.00
_cell_angle_gamma 90.00
_space_group_name_H-M_alt 'P 4/m m m'
_space_group_IT_number 123
_space_group_name_Hall '-P 4 2'
loop_
_atom_site_label
_atom_site_type_symbol
_atom_site_fract_x
_atom_site_fract_y
_atom_site_fract_z
_atom_site_occupancy
Ba1 Ba 0.000 0.000 0.000 1
Hf1 Hf 0.000 0.000 0.500 1
Ru1 Ru 0.500 0.500 0.500 1
F1 F 0.000 0.500 0.000 1

***

10.
# BaNb2HgF (PBEsol, relaxed)
# DOS(E_F)   6.81 states/eV per cell
# Energy   -19.9 eV/f.u.
# ΔE_f (raw)   1.27 eV per atom
# Magnetic moment   0.483 μB per atom
data_BaNb2HgF
_chemical_formula_sum 'Ba1 Nb2 Hg1 F1'
_cell_length_a 5.274
_cell_length_b 5.274
_cell_length_c 4.568
_cell_angle_alpha 90.00
_cell_angle_beta 90.00
_cell_angle_gamma 90.00
_space_group_name_H-M_alt 'P 4/m m m'
_space_group_IT_number 123
_space_group_name_Hall '-P 4 2'
loop_
_atom_site_label
_atom_site_type_symbol
_atom_site_fract_x
_atom_site_fract_y
_atom_site_fract_z
_atom_site_occupancy
Ba1 Ba 0.000 0.000 0.000 1
Nb1 Nb 0.000 0.500 0.000 1
Hg1 Hg 0.500 0.500 0.500 1
F1 F 0.000 0.000 0.500 1

***

11.
# BaSi2HgF (PBEsol, relaxed)
# DOS(E_F)   7.44 states/eV per cell
# Energy   -10.5 eV/f.u.
# ΔE_f (raw)   1.13 eV per atom
# Magnetic moment   0.443 μB per atom
data_BaSi2HgF
_chemical_formula_sum 'Ba1 Si2 Hg1 F1'
_cell_length_a 5.923
_cell_length_b 5.923
_cell_length_c 6.506
_cell_angle_alpha 90.00
_cell_angle_beta 90.00
_cell_angle_gamma 90.00
_space_group_name_H-M_alt 'P 4/m m m'
_space_group_IT_number 123
_space_group_name_Hall '-P 4 2'
loop_
_atom_site_label
_atom_site_type_symbol
_atom_site_fract_x
_atom_site_fract_y
_atom_site_fract_z
_atom_site_occupancy
Ba1 Ba 0.000 0.000 0.000 1
Si1 Si 0.000 0.500 0.000 1
Hg1 Hg 0.000 0.000 0.500 1
F1 F 0.500 0.500 0.500 1

***

12.
# Ba3IF (PBEsol, relaxed)
# DOS(E_F)   5.49 states/eV per cell
# Energy   -16.6 eV/f.u.
# ΔE_f (raw)   -1.29 eV per atom
# Magnetic moment   0.470 μB per atom
data_Ba3IF
_chemical_formula_sum 'Ba3 I1 F1'
_cell_length_a 5.539
_cell_length_b 5.539
_cell_length_c 5.539
_cell_angle_alpha 90.00
_cell_angle_beta 90.00
_cell_angle_gamma 90.00
_space_group_name_H-M_alt 'P m -3 m'
_space_group_IT_number 221
_space_group_name_Hall '-P 4 2 3'
loop_
_atom_site_label
_atom_site_type_symbol
_atom_site_fract_x
_atom_site_fract_y
_atom_site_fract_z
_atom_site_occupancy
Ba1 Ba 0.000 0.000 0.500 1
I1 I 0.500 0.500 0.500 1
F1 F 0.000 0.000 0.000 1

***

What is the formula in the seventh record?
BaHf3F